PaAlFe2O6: optimized geometry, PBE with a Hubbard U.

Output
space-group type	P1
M_tot	0.80	μB per atom
DOS at the Fermi energy	0.00	states/eV per atom
final energy	-7.920	eV per atom

a b c (Å): 5.327 5.328 5.643
angles (deg): 62.62 62.06 60.24
Fractional positions:
Pa1 0.000 0.000 0.000
Al1 0.499 0.503 0.493
Fe1 0.202 0.205 0.387
Fe2 0.694 0.710 0.872
O1 0.137 0.769 0.696
O2 0.298 0.598 0.226
O3 0.395 0.146 0.696
O4 0.600 0.871 0.217
O5 0.756 0.409 0.700
O6 0.873 0.297 0.230